Here is TcAg after structural relaxation from Alexandria via LeMat-Bulk. Energies are from PBE.

a = 2.6390 Å, b = 2.6390 Å, c = 4.7945 Å
α = 90.00°, β = 90.00°, γ = 105.66°
Atoms (fractional coordinates):
1 Tc 0.0000 0.0000 0.0000
2 Ag 0.5000 0.5000 0.5000

Summary:
Raw total energy (eV/f.u.): -12.0
V (Å³ per cell): 32.2
Formation energy (eV per atom): 0.596